1.
# GGA+U Cs2WO4, relaxed
data_Cs2WO4
_symmetry_space_group_name_H-M 'P 1'
_symmetry_Int_Tables_number 1
_cell_length_a 6.8872
_cell_length_b 7.1766
_cell_length_c 8.3260
_cell_angle_alpha 90.00
_cell_angle_beta 111.03
_cell_angle_gamma 90.00
loop_
_symmetry_equiv_pos_as_xyz
'x,y,z'
loop_
_atom_site_label
_atom_site_fract_x
_atom_site_fract_y
_atom_site_fract_z
Cs1 0.6530 0.7500 0.9968
Cs2 0.3470 0.2500 0.0032
Cs3 0.1868 0.2500 0.4342
Cs4 0.8132 0.7500 0.5658
W1 0.2406 0.7500 0.2071
W2 0.7594 0.2500 0.7929
O1 0.4072 0.5447 0.2669
O2 0.1071 0.7500 0.9746
O3 0.8929 0.2500 0.0254
O4 0.4072 0.9553 0.2669
O5 0.9499 0.2500 0.6878
O6 0.5928 0.0447 0.7331
O7 0.5928 0.4553 0.7331
O8 0.0501 0.7500 0.3122
# symmetry: P2_1/m, No. 11
# distance to the lowest polymorph of the same formula: 26 meV per atom



2.
# GGA+U Cs2WO4, relaxed
data_Cs2WO4
_symmetry_space_group_name_H-M 'P 1'
_symmetry_Int_Tables_number 1
_cell_length_a 7.6265
_cell_length_b 7.6265
_cell_length_c 8.4358
_cell_angle_alpha 66.54
_cell_angle_beta 66.54
_cell_angle_gamma 52.17
loop_
_symmetry_equiv_pos_as_xyz
'x,y,z'
loop_
_atom_site_label
_atom_site_fract_x
_atom_site_fract_y
_atom_site_fract_z
Cs1 0.4857 0.4857 0.2412
Cs2 0.8425 0.8425 0.7471
Cs3 0.1575 0.1575 0.2529
Cs4 0.5143 0.5143 0.7588
W1 0.8257 0.8257 0.2246
W2 0.1743 0.1743 0.7754
O1 0.9035 0.9035 0.3526
O2 0.3207 0.3207 0.6324
O3 0.9196 0.3649 0.9130
O4 0.3649 0.9196 0.9130
O5 0.0804 0.6351 0.0870
O6 0.6351 0.0804 0.0870
O7 0.6793 0.6793 0.3676
O8 0.0965 0.0965 0.6474
# symmetry: C2/m, No. 12
# distance to the lowest polymorph of the same formula: 2 meV per atom



3.
# GGA+U CsWO2, relaxed
data_CsWO2
_symmetry_space_group_name_H-M 'P 1'
_symmetry_Int_Tables_number 1
_cell_length_a 4.5167
_cell_length_b 4.5167
_cell_length_c 4.5167
_cell_angle_alpha 60.00
_cell_angle_beta 60.00
_cell_angle_gamma 60.00
loop_
_symmetry_equiv_pos_as_xyz
'x,y,z'
loop_
_atom_site_label
_atom_site_fract_x
_atom_site_fract_y
_atom_site_fract_z
Cs1 0.0000 0.0000 0.0000
O1 0.2500 0.2500 0.2500
O2 0.7500 0.7500 0.7500
W1 0.5000 0.5000 0.5000
# symmetry: Fm-3m, No. 225
# distance to the lowest polymorph of the same formula: 1276 meV per atom



4.
# GGA+U Cs2W3O10, relaxed
data_Cs2W3O10
_symmetry_space_group_name_H-M 'P 1'
_symmetry_Int_Tables_number 1
_cell_length_a 6.1229
_cell_length_b 10.3103
_cell_length_c 9.8135
_cell_angle_alpha 110.88
_cell_angle_beta 108.06
_cell_angle_gamma 92.12
loop_
_symmetry_equiv_pos_as_xyz
'x,y,z'
loop_
_atom_site_label
_atom_site_fract_x
_atom_site_fract_y
_atom_site_fract_z
Cs1 0.6754 0.3461 0.3872
Cs2 0.3246 0.6539 0.6128
Cs3 0.5900 0.7440 0.1926
Cs4 0.4100 0.2560 0.8074
W1 0.9218 0.4277 0.8150
W2 0.0782 0.5723 0.1850
W3 0.8163 0.0005 0.6343
W4 0.1837 0.9995 0.3657
W5 0.7612 0.0169 0.0083
W6 0.2388 0.9831 0.9917
O1 0.6806 0.0171 0.8034
O2 0.1221 0.0151 0.8018
O3 0.3194 0.9829 0.1966
O4 0.8779 0.9849 0.1982
O5 0.6488 0.4705 0.7271
O6 0.1009 0.4473 0.7070
O7 0.3512 0.5295 0.2729
O8 0.8991 0.5527 0.2930
O9 0.9546 0.8650 0.9299
O10 0.0454 0.1350 0.0702
O11 0.8666 0.2194 0.7213
O12 0.1334 0.7806 0.2787
O13 0.7691 0.8146 0.5703
O14 0.2309 0.1854 0.4297
O15 0.4600 0.8681 0.9369
O16 0.5400 0.1319 0.0631
O17 0.9131 0.3969 0.0080
O18 0.0869 0.6031 0.9920
O19 0.5000 0.0000 0.5000
O20 0.0000 0.0000 0.5000
# total energy: -6.80 eV per atom
# symmetry: P-1, No. 2



5.
# GGA+U Cs3W5O12, relaxed
data_Cs3W5O12
_symmetry_space_group_name_H-M 'P 1'
_symmetry_Int_Tables_number 1
_cell_length_a 12.2536
_cell_length_b 12.2536
_cell_length_c 12.2536
_cell_angle_alpha 109.47
_cell_angle_beta 109.47
_cell_angle_gamma 109.47
loop_
_symmetry_equiv_pos_as_xyz
'x,y,z'
loop_
_atom_site_label
_atom_site_fract_x
_atom_site_fract_y
_atom_site_fract_z
Cs1 0.7500 0.3750 0.1250
Cs2 0.8750 0.7500 0.1250
Cs3 0.3750 0.7500 0.6250
Cs4 0.2500 0.1250 0.3750
Cs5 0.8750 0.1250 0.2500
Cs6 0.3750 0.6250 0.2500
Cs7 0.6250 0.3750 0.7500
Cs8 0.1250 0.8750 0.7500
Cs9 0.7500 0.8750 0.6250
Cs10 0.6250 0.2500 0.3750
Cs11 0.1250 0.2500 0.8750
Cs12 0.2500 0.6250 0.8750
W1 0.1250 0.3750 0.2500
W2 0.0000 0.5000 0.0000
W3 0.0000 0.0000 0.0000
W4 0.3750 0.2500 0.1250
W5 0.5000 0.0000 0.5000
W6 0.5000 0.5000 0.0000
W7 0.1250 0.7500 0.3750
W8 0.7500 0.1250 0.8750
W9 0.7500 0.6250 0.3750
W10 0.3750 0.1250 0.7500
W11 0.6250 0.8750 0.2500
W12 0.5000 0.5000 0.5000
W13 0.5000 0.0000 0.0000
W14 0.0000 0.0000 0.5000
W15 0.2500 0.3750 0.6250
W16 0.2500 0.8750 0.1250
W17 0.0000 0.5000 0.5000
W18 0.8750 0.2500 0.6250
W19 0.6250 0.7500 0.8750
W20 0.8750 0.6250 0.7500
O1 0.6765 0.0904 0.9819
O2 0.3054 0.4819 0.3914
O3 0.0181 0.4096 0.3235
O4 0.4819 0.1765 0.0904
O5 0.5860 0.6765 0.6946
O6 0.0181 0.6086 0.1946
O7 0.3054 0.8235 0.4140
O8 0.1086 0.9140 0.0904
O9 0.6086 0.0181 0.6946
O10 0.6765 0.5860 0.1946
O11 0.8235 0.5181 0.4096
O12 0.8054 0.8914 0.9819
O13 0.0904 0.6765 0.4819
O14 0.4096 0.3914 0.0860
O15 0.0860 0.8914 0.4096
O16 0.4140 0.0904 0.6086
O17 0.0860 0.1946 0.1765
O18 0.5181 0.6946 0.1086
O19 0.8054 0.9140 0.3235
O20 0.0904 0.4140 0.1086
O21 0.4096 0.0181 0.8235
O22 0.6086 0.5904 0.4140
O23 0.8914 0.8054 0.4819
O24 0.8235 0.3054 0.9140
O25 0.3914 0.4096 0.5860
O26 0.1086 0.1946 0.5181
O27 0.1765 0.6946 0.0860
O28 0.1946 0.0860 0.6765
O29 0.5904 0.9819 0.1765
O30 0.9096 0.5860 0.8914
O31 0.4819 0.3054 0.8914
O32 0.5860 0.9096 0.3914
O33 0.9140 0.8054 0.8235
O34 0.9140 0.1086 0.5904
O35 0.9096 0.3235 0.5181
O36 0.1946 0.1086 0.0181
O37 0.5904 0.6086 0.9140
O38 0.3914 0.9819 0.3054
O39 0.3235 0.4140 0.8054
O40 0.1765 0.4819 0.5904
O41 0.8914 0.0860 0.9096
O42 0.6946 0.1765 0.5860
O43 0.5181 0.8235 0.9096
O44 0.9819 0.3914 0.8054
O45 0.4140 0.3235 0.3054
O46 0.9819 0.5904 0.6765
O47 0.6946 0.5181 0.6086
O48 0.3235 0.9096 0.0181
# total energy: -6.59 eV per atom
# symmetry: Ia-3d, No. 230



6.
# GGA+U Cs2W2O, relaxed
data_Cs2W2O
_symmetry_space_group_name_H-M 'P 1'
_symmetry_Int_Tables_number 1
_cell_length_a 6.1104
_cell_length_b 6.1104
_cell_length_c 7.0187
_cell_angle_alpha 90.00
_cell_angle_beta 90.00
_cell_angle_gamma 90.00
loop_
_symmetry_equiv_pos_as_xyz
'x,y,z'
loop_
_atom_site_label
_atom_site_fract_x
_atom_site_fract_y
_atom_site_fract_z
Cs1 0.1931 0.6931 0.5000
Cs2 0.6931 0.8069 0.5000
Cs3 0.8069 0.3069 0.5000
Cs4 0.3069 0.1931 0.5000
O1 0.0000 0.0000 0.0000
O2 0.5000 0.5000 0.0000
W1 0.3387 0.8387 0.0000
W2 0.8387 0.6613 0.0000
W3 0.6613 0.1613 0.0000
W4 0.1613 0.3387 0.0000
# total energy: -3.10 eV per atom
# symmetry: P4/mbm, No. 127



7.
# GGA+U CsWO2, relaxed
data_CsWO2
_symmetry_space_group_name_H-M 'P 1'
_symmetry_Int_Tables_number 1
_cell_length_a 8.0183
_cell_length_b 8.0183
_cell_length_c 8.0183
_cell_angle_alpha 26.76
_cell_angle_beta 26.76
_cell_angle_gamma 26.76
loop_
_symmetry_equiv_pos_as_xyz
'x,y,z'
loop_
_atom_site_label
_atom_site_fract_x
_atom_site_fract_y
_atom_site_fract_z
Cs1 0.5000 0.5000 0.5000
O1 0.9205 0.9205 0.9205
O2 0.0795 0.0795 0.0795
W1 0.0000 0.0000 0.0000
# symmetry: R-3m, No. 166
# distance to the lowest polymorph of the same formula: 0 meV per atom



8.
# GGA+U Cs3WO4, relaxed
data_Cs3WO4
_symmetry_space_group_name_H-M 'P 1'
_symmetry_Int_Tables_number 1
_cell_length_a 7.8971
_cell_length_b 7.8971
_cell_length_c 7.8971
_cell_angle_alpha 68.76
_cell_angle_beta 132.93
_cell_angle_gamma 132.93
loop_
_symmetry_equiv_pos_as_xyz
'x,y,z'
loop_
_atom_site_label
_atom_site_fract_x
_atom_site_fract_y
_atom_site_fract_z
Cs1 0.0000 0.5000 0.5000
Cs2 0.5000 0.7500 0.2500
Cs3 0.5000 0.2500 0.7500
O1 0.0000 0.7516 0.0859
O2 0.3343 0.2484 0.2484
O3 0.6657 0.9141 0.9141
O4 0.0000 0.0859 0.7516
W1 0.0000 0.0000 0.0000
# symmetry: I-42m, No. 121
# distance to the lowest polymorph of the same formula: 49 meV per atom



9.
# GGA+U Cs2YW3O12, relaxed
data_Cs2YW3O12
_symmetry_space_group_name_H-M 'P 1'
_symmetry_Int_Tables_number 1
_cell_length_a 7.7052
_cell_length_b 7.7052
_cell_length_c 7.7052
_cell_angle_alpha 58.43
_cell_angle_beta 58.43
_cell_angle_gamma 58.43
loop_
_symmetry_equiv_pos_as_xyz
'x,y,z'
loop_
_atom_site_label
_atom_site_fract_x
_atom_site_fract_y
_atom_site_fract_z
Cs1 0.6255 0.6255 0.6255
Cs2 0.3745 0.3745 0.3745
Y1 0.0000 0.0000 0.0000
W1 0.5000 0.0000 0.0000
W2 0.0000 0.5000 0.0000
W3 0.0000 0.0000 0.5000
O1 0.3013 0.3013 0.9332
O2 0.9262 0.9262 0.3530
O3 0.3530 0.9262 0.9262
O4 0.9332 0.3013 0.3013
O5 0.9262 0.3530 0.9262
O6 0.3013 0.9332 0.3013
O7 0.6987 0.6987 0.0669
O8 0.0738 0.0738 0.6470
O9 0.6470 0.0738 0.0738
O10 0.0669 0.6987 0.6987
O11 0.0738 0.6470 0.0738
O12 0.6987 0.0669 0.6987
# total energy: -7.15 eV per atom
# symmetry: R-3m, No. 166



10.
# GGA+U CsYbW2O8, relaxed
data_CsYbW2O8
_symmetry_space_group_name_H-M 'P 1'
_symmetry_Int_Tables_number 1
_cell_length_a 7.8285
_cell_length_b 7.8285
_cell_length_c 7.5433
_cell_angle_alpha 62.24
_cell_angle_beta 62.24
_cell_angle_gamma 88.21
loop_
_symmetry_equiv_pos_as_xyz
'x,y,z'
loop_
_atom_site_label
_atom_site_fract_x
_atom_site_fract_y
_atom_site_fract_z
Cs1 0.2014 0.7986 0.7500
Cs2 0.7986 0.2014 0.2500
Yb1 0.7778 0.2222 0.7500
Yb2 0.2222 0.7778 0.2500
W1 0.6955 0.6881 0.7943
W2 0.3045 0.3119 0.2057
W3 0.3119 0.3045 0.7057
W4 0.6881 0.6955 0.2943
O1 0.6243 0.7421 0.5664
O2 0.3757 0.2579 0.4336
O3 0.2579 0.3757 0.9336
O4 0.7421 0.6243 0.0664
O5 0.3405 0.0561 0.8785
O6 0.6595 0.9439 0.1215
O7 0.9439 0.6595 0.6215
O8 0.0561 0.3405 0.3785
O9 0.5988 0.3808 0.9561
O10 0.4012 0.6192 0.0439
O11 0.6192 0.4012 0.5439
O12 0.3808 0.5988 0.4561
O13 0.7462 0.9488 0.7168
O14 0.2538 0.0512 0.2832
O15 0.0512 0.2538 0.7832
O16 0.9488 0.7462 0.2168
# total energy: -6.92 eV per atom
# symmetry: C2/c, No. 15



11.
# GGA+U CsYbW2O8, relaxed
data_CsYbW2O8
_symmetry_space_group_name_H-M 'P 1'
_symmetry_Int_Tables_number 1
_cell_length_a 5.3038
_cell_length_b 7.4471
_cell_length_c 9.5823
_cell_angle_alpha 84.61
_cell_angle_beta 90.00
_cell_angle_gamma 90.00
loop_
_symmetry_equiv_pos_as_xyz
'x,y,z'
loop_
_atom_site_label
_atom_site_fract_x
_atom_site_fract_y
_atom_site_fract_z
Cs1 0.4042 0.7500 0.5000
Cs2 0.5958 0.2500 0.5000
Yb1 0.4728 0.7500 0.0000
Yb2 0.5272 0.2500 0.0000
W1 0.9754 0.5129 0.1819
W2 0.0246 0.4871 0.8181
W3 0.9754 0.9871 0.8181
W4 0.0246 0.0129 0.1819
O1 0.8630 0.2570 0.1612
O2 0.1370 0.7430 0.8388
O3 0.8630 0.2430 0.8388
O4 0.1370 0.7570 0.1612
O5 0.8955 0.9493 0.3499
O6 0.1045 0.0507 0.6501
O7 0.8955 0.5507 0.6501
O8 0.1045 0.4493 0.3499
O9 0.7669 0.9686 0.0360
O10 0.2331 0.0314 0.9640
O11 0.7669 0.5314 0.9640
O12 0.2331 0.4686 0.0360
O13 0.6648 0.6059 0.2167
O14 0.3352 0.3941 0.7833
O15 0.6648 0.8941 0.7833
O16 0.3352 0.1059 0.2167
# total energy: -6.92 eV per atom
# symmetry: P2/c, No. 13



12.
# GGA+U Cs2ZrWO6, relaxed
data_Cs2ZrWO6
_symmetry_space_group_name_H-M 'P 1'
_symmetry_Int_Tables_number 1
_cell_length_a 5.5679
_cell_length_b 5.5679
_cell_length_c 7.3577
_cell_angle_alpha 112.24
_cell_angle_beta 112.24
_cell_angle_gamma 90.00
loop_
_symmetry_equiv_pos_as_xyz
'x,y,z'
loop_
_atom_site_label
_atom_site_fract_x
_atom_site_fract_y
_atom_site_fract_z
Cs1 0.7911 0.2916 0.5824
Cs2 0.2911 0.7916 0.5824
Zr1 0.5386 0.5391 0.0772
W1 0.0332 0.0337 0.0663
O1 0.7570 0.7575 0.9887
O2 0.6898 0.6903 0.3796
O3 0.2317 0.2322 0.9887
O4 0.7570 0.2322 0.9886
O5 0.1776 0.1782 0.3552
O6 0.2317 0.7575 0.9887
# total energy: -7.05 eV per atom
# symmetry: I4mm, No. 107



no.,magnetization (μB/f.u.)
1,0.2
2,0.1
3,3.0
4,0.0
5,9.0
6,2.7
7,2.1
8,0.1
9,1.0
10,1.1
11,1.1
12,0.0